Co2ReIr: optimized geometry, PBE-GGA.

ΔH_f (0 K)   17.5 meV per atom

The structure in CIF format:
```
data_Co2ReIr
_symmetry_space_group_name_H-M 'P 4 m m'
_symmetry_Int_Tables_number 99
_cell_length_a 2.690
_cell_length_b 2.690
_cell_length_c 7.118
_cell_angle_alpha 90.00
_cell_angle_beta 90.00
_cell_angle_gamma 90.00
loop_
_symmetry_equiv_pos_as_xyz
'x,y,z'
'-y,x,z'
'-x,-y,z'
'y,-x,z'
'-x,y,z'
'y,x,z'
'x,-y,z'
'-y,-x,z'
loop_
_atom_site_label
_atom_site_fract_x
_atom_site_fract_y
_atom_site_fract_z
Co1 0.000 0.000 0.000
Co2 0.500 0.500 0.222
Re1 0.500 0.500 0.752
Ir1 0.000 0.000 0.479
```